# CaNdSmMg, relaxed, DFT GGA-PBE
# formation enthalpy at 0 K = -0.0209 eV per atom
# ΔE to the lowest computed polymorph = 0.000 eV per atom
data_CaNdSmMg
_chemical_formula_sum 'Ca1 Nd1 Sm1 Mg1'
_cell_length_a 3.677
_cell_length_b 3.677
_cell_length_c 9.831
_cell_angle_alpha 90.00
_cell_angle_beta 90.00
_cell_angle_gamma 90.00
_symmetry_space_group_name_H-M 'P 4 m m'
_symmetry_Int_Tables_number 99
loop_
_symmetry_equiv_pos_as_xyz
'x,y,z'
'-y,x,z'
'-x,-y,z'
'y,-x,z'
'-x,y,z'
'y,x,z'
'x,-y,z'
'-y,-x,z'
loop_
_atom_site_label
_atom_site_type_symbol
_atom_site_fract_x
_atom_site_fract_y
_atom_site_fract_z
Ca1 Ca 0.000 0.000 0.000
Nd1 Nd 0.500 0.500 0.707
Sm1 Sm 0.000 0.000 0.455
Mg1 Mg 0.500 0.500 0.233

***

# SrBeRe2, relaxed, DFT GGA-PBE
# formation enthalpy at 0 K = 1.0333 eV per atom
data_SrBeRe2
_chemical_formula_sum 'Sr2 Be2 Re4'
_cell_length_a 3.190
_cell_length_b 5.235
_cell_length_c 9.160
_cell_angle_alpha 90.00
_cell_angle_beta 90.00
_cell_angle_gamma 90.00
_symmetry_space_group_name_H-M 'I m m 2'
_symmetry_Int_Tables_number 44
loop_
_symmetry_equiv_pos_as_xyz
'x,y,z'
'-x,-y,z'
'-x,y,z'
'x,-y,z'
'x+1/2,y+1/2,z+1/2'
'-x+1/2,-y+1/2,z+1/2'
'-x+1/2,y+1/2,z+1/2'
'x+1/2,-y+1/2,z+1/2'
loop_
_atom_site_label
_atom_site_type_symbol
_atom_site_fract_x
_atom_site_fract_y
_atom_site_fract_z
Sr1 Sr 0.000 0.000 0.000
Be1 Be 0.000 0.500 0.207
Re1 Re 0.000 0.000 0.500
Re2 Re 0.000 0.500 0.797

***

# CsLaAl3, relaxed, DFT GGA-PBE
# formation enthalpy at 0 K = 0.7619 eV per atom
# ΔE to the lowest computed polymorph = 0.000 eV per atom
data_CsLaAl3
_chemical_formula_sum 'Cs1 La1 Al3'
_cell_length_a 6.000
_cell_length_b 6.000
_cell_length_c 6.000
_cell_angle_alpha 90.00
_cell_angle_beta 90.00
_cell_angle_gamma 90.00
_symmetry_space_group_name_H-M 'P m -3 m'
_symmetry_Int_Tables_number 221
_symmetry_space_group_name_Hall '-P 4 2 3'
loop_
_atom_site_label
_atom_site_type_symbol
_atom_site_fract_x
_atom_site_fract_y
_atom_site_fract_z
Cs1 Cs 0.000 0.000 0.000
La1 La 0.500 0.500 0.500
Al1 Al 0.000 0.500 0.500

***

# ZrZn, relaxed, DFT GGA-PBE
# formation enthalpy at 0 K = 1.2579 eV per atom
data_ZrZn
_chemical_formula_sum 'Zr6 Zn6'
_cell_length_a 7.408
_cell_length_b 7.408
_cell_length_c 7.408
_cell_angle_alpha 90.00
_cell_angle_beta 90.00
_cell_angle_gamma 90.00
_symmetry_space_group_name_H-M 'P m -3 n'
_symmetry_Int_Tables_number 223
_symmetry_space_group_name_Hall '-P 4n 2 3'
loop_
_atom_site_label
_atom_site_type_symbol
_atom_site_fract_x
_atom_site_fract_y
_atom_site_fract_z
Zr1 Zr 0.000 0.250 0.500
Zn1 Zn 0.000 0.500 0.250

***

# Tb4Sn2B, relaxed, DFT GGA-PBE
# formation enthalpy at 0 K = -0.5018 eV per atom
data_Tb4Sn2B
_chemical_formula_sum 'Tb8 Sn4 B2'
_cell_length_a 4.893
_cell_length_b 4.893
_cell_length_c 16.166
_cell_angle_alpha 90.00
_cell_angle_beta 90.00
_cell_angle_gamma 90.00
_symmetry_space_group_name_H-M 'I 4/m m m'
_symmetry_Int_Tables_number 139
_symmetry_space_group_name_Hall '-I 4 2'
loop_
_atom_site_label
_atom_site_type_symbol
_atom_site_fract_x
_atom_site_fract_y
_atom_site_fract_z
Tb1 Tb 0.000 0.000 0.166
Tb2 Tb 0.000 0.500 0.000
Sn1 Sn 0.000 0.000 0.362
B1 B 0.000 0.000 0.000

***

# Pr2Pa3S8, relaxed, DFT GGA-PBE
# ΔE to the lowest computed polymorph = 0.037 eV per atom
# formation energy from raw total energies = -1.69 eV/atom
data_Pr2Pa3S8
_chemical_formula_sum 'Pr4 Pa6 S16'
_cell_length_a 14.314
_cell_length_b 8.032
_cell_length_c 6.640
_cell_angle_alpha 90.00
_cell_angle_beta 108.80
_cell_angle_gamma 90.00
_symmetry_space_group_name_H-M 'C 1 2/m 1'
_symmetry_Int_Tables_number 12
loop_
_symmetry_equiv_pos_as_xyz
'x,y,z'
'-x,-y,-z'
'-x,y,-z'
'x,-y,z'
'x+1/2,y+1/2,z'
'-x+1/2,-y+1/2,-z'
'-x+1/2,y+1/2,-z'
'x+1/2,-y+1/2,z'
loop_
_atom_site_label
_atom_site_type_symbol
_atom_site_fract_x
_atom_site_fract_y
_atom_site_fract_z
Pr1 Pr 0.237 0.000 0.164
Pa1 Pa 0.000 0.251 0.500
Pa2 Pa 0.000 0.500 0.000
S1 S 0.110 0.000 0.421
S2 S 0.118 0.500 0.421
S3 S 0.123 0.268 0.915

***

# SrCaHgCl6, relaxed, DFT GGA-PBE
# formation energy from raw total energies = -1.79 eV/atom
data_SrCaHgCl6
_chemical_formula_sum 'Sr2 Ca2 Hg2 Cl12'
_cell_length_a 6.9452
_cell_length_b 6.9452
_cell_length_c 12.8513
_cell_angle_alpha 90.00
_cell_angle_beta 90.00
_cell_angle_gamma 120.00
_symmetry_space_group_name_H-M 'P -3 1 c'
_symmetry_Int_Tables_number 163
_symmetry_space_group_name_Hall '-P 3 2c'
loop_
_atom_site_label
_atom_site_type_symbol
_atom_site_fract_x
_atom_site_fract_y
_atom_site_fract_z
Sr1 Sr 0.0000 0.0000 0.0000
Ca1 Ca 0.3333 0.6667 0.2500
Hg1 Hg 0.3333 0.6667 0.7500
Cl1 Cl 0.0039 0.3511 0.6302

***

# LiPr2Be, relaxed, DFT GGA-PBE
# formation enthalpy at 0 K = 0.1830 eV per atom
# ΔE to the lowest computed polymorph = 0.052 eV per atom
data_LiPr2Be
_chemical_formula_sum 'Li4 Pr8 Be4'
_cell_length_a 7.348
_cell_length_b 7.348
_cell_length_c 7.348
_cell_angle_alpha 90.00
_cell_angle_beta 90.00
_cell_angle_gamma 90.00
_symmetry_space_group_name_H-M 'F m -3 m'
_symmetry_Int_Tables_number 225
_symmetry_space_group_name_Hall '-F 4 2 3'
loop_
_atom_site_label
_atom_site_type_symbol
_atom_site_fract_x
_atom_site_fract_y
_atom_site_fract_z
Li1 Li 0.000 0.000 0.000
Pr1 Pr 0.250 0.250 0.250
Be1 Be 0.000 0.000 0.500

***

# ReC2Cl, relaxed, DFT GGA-PBE
# ΔE to the lowest computed polymorph = 1.484 eV per atom
# formation energy from raw total energies = 2.77 eV/atom
data_ReC2Cl
_chemical_formula_sum 'Re4 C8 Cl4'
_cell_length_a 5.524
_cell_length_b 5.524
_cell_length_c 5.524
_cell_angle_alpha 90.00
_cell_angle_beta 90.00
_cell_angle_gamma 90.00
_symmetry_space_group_name_H-M 'F m -3 m'
_symmetry_Int_Tables_number 225
_symmetry_space_group_name_Hall '-F 4 2 3'
loop_
_atom_site_label
_atom_site_type_symbol
_atom_site_fract_x
_atom_site_fract_y
_atom_site_fract_z
Re1 Re 0.000 0.000 0.000
C1 C 0.250 0.250 0.250
Cl1 Cl 0.000 0.000 0.500

***

# PrGaS2, relaxed, DFT GGA-PBE
# formation energy from raw total energies = -1.38 eV/atom
data_PrGaS2
_chemical_formula_sum 'Pr2 Ga2 S4'
_cell_length_a 5.711
_cell_length_b 4.168
_cell_length_c 7.941
_cell_angle_alpha 90.00
_cell_angle_beta 110.37
_cell_angle_gamma 90.00
_symmetry_space_group_name_H-M 'P 1 21/m 1'
_symmetry_Int_Tables_number 11
loop_
_symmetry_equiv_pos_as_xyz
'x,y,z'
'-x,-y,-z'
'-x,y+1/2,-z'
'x,-y+1/2,z'
loop_
_atom_site_label
_atom_site_type_symbol
_atom_site_fract_x
_atom_site_fract_y
_atom_site_fract_z
Pr1 Pr 0.150 0.250 0.294
Ga1 Ga 0.293 0.250 0.810
S1 S 0.267 0.750 0.073
S2 S 0.290 0.750 0.575

***

# TaTlCuSe2, relaxed, DFT GGA-PBE
# formation energy from raw total energies = 0.40 eV/atom
data_TaTlCuSe2
_chemical_formula_sum 'Ta1 Tl1 Cu1 Se2'
_cell_length_a 4.943
_cell_length_b 4.943
_cell_length_c 5.778
_cell_angle_alpha 90.00
_cell_angle_beta 90.00
_cell_angle_gamma 90.00
_symmetry_space_group_name_H-M 'P 4/m m m'
_symmetry_Int_Tables_number 123
_symmetry_space_group_name_Hall '-P 4 2'
loop_
_atom_site_label
_atom_site_type_symbol
_atom_site_fract_x
_atom_site_fract_y
_atom_site_fract_z
Ta1 Ta 0.000 0.000 0.000
Tl1 Tl 0.000 0.000 0.500
Cu1 Cu 0.500 0.500 0.500
Se1 Se 0.000 0.500 0.000

***

# NpBeH6Pd, relaxed, DFT GGA-PBE
# electronic total energy = -4.72 eV per atom
data_NpBeH6Pd
_chemical_formula_sum 'Np1 Be1 H6 Pd1'
_cell_length_a 4.2997
_cell_length_b 4.2997
_cell_length_c 4.3447
_cell_angle_alpha 90.00
_cell_angle_beta 90.00
_cell_angle_gamma 120.00
_symmetry_space_group_name_H-M 'P -6 m 2'
_symmetry_Int_Tables_number 187
_symmetry_space_group_name_Hall 'P -6 2'
loop_
_atom_site_label
_atom_site_type_symbol
_atom_site_fract_x
_atom_site_fract_y
_atom_site_fract_z
Np1 Np 0.0000 0.0000 0.0000
Be1 Be 0.6667 0.3333 0.5000
H1 H 0.5126 0.0251 0.2130
Pd1 Pd 0.3333 0.6667 0.5000